A plane-wave DFT calculation with GGA-PBE was carried out for a relaxed structure of ZrTe2AuO8.

Results
Final energy   -5.8931 eV/atom
Density of states at the Fermi level   5.3 states/eV/cell
Crystal system   monoclinic
E_form (uncorrected)   -1.079 eV/atom

abc: 6.6455 6.6455 5.2063
angles: 110.36 110.36 53.31
Last column: nearest neighbours and their distance in Å.
Positions (direct):
Zr 0.0000 0.0000 0.0000  6 O 2.01-2.19
Te 0.2804 0.2804 0.7734  4 O 1.92-2.03
Te 0.7196 0.7196 0.2266  4 O 1.92-2.03
Au 0.5000 0.5000 0.5000  2 O 2.03
O 0.1133 0.1133 0.7963  1 Zr 2.01, 1 Te 2.03
O 0.1585 0.6253 0.7269  1 Te 2.00, 1 Zr 2.19
O 0.3358 0.3358 0.1728  1 Te 1.92, 1 Au 2.03
O 0.3747 0.8415 0.2731  1 Te 2.00, 1 Zr 2.19
O 0.6253 0.1585 0.7269  1 Te 2.00, 1 Zr 2.19
O 0.6642 0.6642 0.8272  1 Te 1.92, 1 Au 2.03
O 0.8415 0.3747 0.2731  1 Te 2.00, 1 Zr 2.19
O 0.8867 0.8867 0.2037  1 Zr 2.01, 1 Te 2.03